Material: KHg2Te
Method: DFT, PBE
State: optimized geometry

Cell: 4.761 4.761 11.208 Å, 90.00 90.00 90.00°
Space group I-4m2 (No. 119)
One atom of each set of equivalent atoms:
K 0.000 0.000 0.000 (multiplicity 2)
Hg 0.000 0.000 0.500 (multiplicity 2)
Hg 0.000 0.500 0.250 (multiplicity 2)
Te 0.000 0.500 0.750 (multiplicity 2)

uncorrected energy: -6.01 eV/f.u.
D(E_F): 0.289 states/eV per atom
energy relative to the elements, uncorrected: -0.292 eV/atom

---

Material: K2Hg2Te
Method: DFT, PBE
State: optimized geometry

Cell: 6.440 6.440 9.931 Å, 90.00 90.00 90.00°
Space group I4/mmm (No. 139)
One atom of each set of equivalent atoms:
K 0.000 0.500 0.250 (multiplicity 4)
Hg 0.000 0.000 0.153 (multiplicity 4)
Te 0.000 0.000 0.500 (multiplicity 2)

uncorrected energy: -7.99 eV/f.u.
D(E_F): 0.000 states/eV per atom
energy relative to the elements, uncorrected: -0.410 eV/atom

---

Material: KHgTe2
Method: DFT, PBE
State: optimized geometry

Cell: 3.285 3.285 11.958 Å, 90.00 90.00 90.00°
Space group P4mm (No. 99)
One atom of each set of equivalent atoms:
K 0.000 0.000 0.000 (multiplicity 1)
Hg 0.500 0.500 0.781 (multiplicity 1)
Te 0.000 0.000 0.560 (multiplicity 1)
Te 0.500 0.500 0.222 (multiplicity 1)

uncorrected energy: -8.42 eV/f.u.
D(E_F): 0.309 states/eV per atom
energy relative to the elements, uncorrected: -0.183 eV/atom

---

Material: K3Hg2Te4
Method: DFT, PBE
State: optimized geometry

Cell: 18.291 4.912 7.924 Å, 90.00 110.45 90.00°
Space group C2/m (No. 12)
One atom of each set of equivalent atoms:
K 0.000 0.000 0.000 (multiplicity 2)
K 0.133 0.000 0.571 (multiplicity 4)
Hg 0.163 0.500 0.982 (multiplicity 4)
Te 0.012 0.500 0.705 (multiplicity 4)
Te 0.212 0.000 0.197 (multiplicity 4)

uncorrected energy: -21.93 eV/f.u.
D(E_F): 0.371 states/eV per atom
energy relative to the elements, uncorrected: -0.608 eV/atom

---

Material: KHg2Te
Method: DFT, PBE
State: optimized geometry

Cell: 4.854 4.854 5.326 Å, 90.00 90.00 90.00°
Space group P4/mmm (No. 123)
One atom of each set of equivalent atoms:
K 0.000 0.000 0.000 (multiplicity 1)
Hg 0.000 0.500 0.500 (multiplicity 2)
Te 0.500 0.500 0.000 (multiplicity 1)

uncorrected energy: -5.91 eV/f.u.
D(E_F): 0.839 states/eV per atom
energy relative to the elements, uncorrected: -0.267 eV/atom

---

Material: KHg2Te
Method: DFT, PBE
State: optimized geometry

Cell: 5.128 5.128 9.487 Å, 90.00 90.00 90.00°
Space group I4/mmm (No. 139)
One atom of each set of equivalent atoms:
K 0.000 0.000 0.000 (multiplicity 2)
Hg 0.000 0.500 0.250 (multiplicity 4)
Te 0.000 0.000 0.500 (multiplicity 2)

uncorrected energy: -6.14 eV/f.u.
D(E_F): 0.471 states/eV per atom
energy relative to the elements, uncorrected: -0.324 eV/atom

---

Material: KHg2Te2
Method: DFT, PBE
State: optimized geometry

Cell: 7.016 7.016 15.482 Å, 90.00 90.00 90.00°
Space group I4_1/amd (No. 141, origin choice 2)
One atom of each set of equivalent atoms:
K 0.000 0.250 0.375 (multiplicity 4)
Hg 0.000 0.000 0.000 (multiplicity 8)
Te 0.000 0.250 0.142 (multiplicity 8)

uncorrected energy: -9.30 eV/f.u.
D(E_F): 1.033 states/eV per atom
energy relative to the elements, uncorrected: -0.263 eV/atom

---

Material: K12Hg5Te3
Method: DFT, PBE
State: optimized geometry

Cell: 20.172 20.172 20.172 Å, 90.00 90.00 90.00°
Space group Ia-3d (No. 230)
One atom of each set of equivalent atoms:
K 0.019 0.081 0.653 (multiplicity 96)
Hg 0.000 0.000 0.000 (multiplicity 16)
Hg 0.000 0.250 0.375 (multiplicity 24)
Te 0.000 0.250 0.125 (multiplicity 24)

uncorrected energy: -31.65 eV/f.u.
D(E_F): 0.753 states/eV per atom
energy relative to the elements, uncorrected: -0.377 eV/atom

---

Material: KHg2Te2
Method: DFT, PBE
State: optimized geometry

Cell: 5.080 5.080 14.015 Å, 90.00 90.00 90.00°
Space group I4/mmm (No. 139)
One atom of each set of equivalent atoms:
K 0.000 0.000 0.000 (multiplicity 2)
Hg 0.000 0.500 0.250 (multiplicity 4)
Te 0.000 0.000 0.367 (multiplicity 4)

uncorrected energy: -9.63 eV/f.u.
D(E_F): 0.291 states/eV per atom
energy relative to the elements, uncorrected: -0.329 eV/atom

---

Material: KHg2Te
Method: DFT, PBE
State: optimized geometry

Cell: 11.538 3.448 6.578 Å, 90.00 99.27 90.00°
Space group Cm (No. 8)
One atom of each set of equivalent atoms:
K 0.000 0.000 0.000 (multiplicity 2)
Hg 0.250 0.500 0.309 (multiplicity 2)
Hg 0.495 0.000 0.470 (multiplicity 2)
Te 0.248 0.000 0.776 (multiplicity 2)

uncorrected energy: -5.94 eV/f.u.
D(E_F): 0.310 states/eV per atom
energy relative to the elements, uncorrected: -0.275 eV/atom

---

Material: KHg2Te2
Method: DFT, PBE
State: optimized geometry

Cell: 5.450 5.450 11.276 Å, 90.00 90.00 90.00°
Space group I4/mmm (No. 139)
One atom of each set of equivalent atoms:
K 0.000 0.000 0.000 (multiplicity 2)
Hg 0.000 0.000 0.379 (multiplicity 4)
Te 0.000 0.500 0.250 (multiplicity 4)

uncorrected energy: -9.47 eV/f.u.
D(E_F): 0.671 states/eV per atom
energy relative to the elements, uncorrected: -0.298 eV/atom

---

Material: KHg2Te
Method: DFT, PBE
State: optimized geometry

Cell: 4.7453 4.7453 21.4685 Å, 90.00 90.00 120.00°
Space group R3m (No. 160, hexagonal axes)
One atom of each set of equivalent atoms:
K 0.0000 0.0000 0.0000 (multiplicity 3)
Hg 0.0000 0.0000 0.2320 (multiplicity 3)
Hg 0.0000 0.0000 0.4977 (multiplicity 3)
Te 0.0000 0.0000 0.7686 (multiplicity 3)

uncorrected energy: -6.20 eV/f.u.
D(E_F): 0.604 states/eV per atom
energy relative to the elements, uncorrected: -0.339 eV/atom